First-principles (GGA-PBE) data for CrOsRu2 after structural relaxation, as listed in Alexandria via LeMat-Bulk.

Geometry as extended XYZ:
```
16
Lattice="5.337 0.000 0.000 0.000 5.340 0.000 0.000 0.000 7.619" Properties=species:S:1:pos:R:3 pbc="T T T"
Cr 0.000 0.000 0.000
Cr 0.000 2.670 3.810
Cr 2.668 0.000 3.810
Cr 2.668 2.670 0.000
Os 1.334 1.335 1.905
Os 1.334 4.005 5.714
Os 4.003 1.335 5.714
Os 4.003 4.005 1.905
Ru 0.000 0.000 3.810
Ru 0.000 2.670 0.000
Ru 1.334 1.335 5.714
Ru 1.334 4.005 1.905
Ru 2.668 0.000 0.000
Ru 2.668 2.670 3.810
Ru 4.003 1.335 1.905
Ru 4.003 4.005 5.714
```

Values from the calculation:
Crystal system: orthorhombic
Symmetry: F222, No. 22



First-principles (GGA-PBE) data for CrOsRu4 after structural relaxation, as listed in Alexandria via LeMat-Bulk.

Geometry as extended XYZ:
```
6
Lattice="0.000 3.546 3.546 3.546 0.000 3.546 3.546 3.546 0.000" Properties=species:S:1:pos:R:3 pbc="T T T"
Cr 0.000 0.000 0.000
Os 1.773 1.773 1.773
Ru 4.434 2.658 2.658
Ru 2.658 4.434 2.658
Ru 2.658 2.658 4.434
Ru 4.434 4.434 4.434
```

Values from the calculation:
Crystal system: cubic
Symmetry: F-43m, No. 216



Number 1: ΔE_f 0.09 eV/atom, distance to the lowest polymorph of the same formula 10 meV per atom. Number 2: ΔE_f 0.64 eV/atom, distance to the lowest polymorph of the same formula 634 meV per atom.